1.
# TiCoMo2Se | Alexandria | PBE | relaxed
# - ρ: 6.906 Mg/m³
# - SG: P4/mmm (123)
# - Total magnetization: 0.00 μB per formula unit
# - E_form (uncorrected): 0.811 eV/atom
# - Crystal system: tetragonal
# - DFT total energy: -7.22 eV/atom
data_TiCoMo2Se
_chemical_formula_sum 'Ti1 Co1 Mo2 Se1'
_cell_length_a 4.494
_cell_length_b 4.496
_cell_length_c 4.494
_cell_angle_alpha 90.00
_cell_angle_beta 90.00
_cell_angle_gamma 90.00
_space_group_name_H-M_alt 'P 1'
_space_group_IT_number 1
loop_
_space_group_symop_operation_xyz
'x,y,z'
loop_
_atom_site_label
_atom_site_fract_x
_atom_site_fract_y
_atom_site_fract_z
Mo1 0.000 0.000 0.500
Mo2 0.500 0.000 0.000
Co1 0.000 0.000 0.000
Se1 0.500 0.500 0.500
Ti1 0.000 0.500 0.000



2.
# SmTm2NbN4 | Alexandria | PBE | relaxed
# - ρ: 8.899 Mg/m³
# - SG: Cmcm (63)
# - Total magnetization: 0.00 μB per formula unit
# - E_form (uncorrected): -1.304 eV/atom
# - Crystal system: orthorhombic
# - DFT total energy: -8.43 eV/atom
data_SmTm2NbN4
_chemical_formula_sum 'Sm2 Tm4 Nb2 N8'
_cell_length_a 3.368
_cell_length_b 6.127
_cell_length_c 11.985
_cell_angle_alpha 90.00
_cell_angle_beta 90.00
_cell_angle_gamma 105.95
_space_group_name_H-M_alt 'P 1'
_space_group_IT_number 1
loop_
_space_group_symop_operation_xyz
'x,y,z'
loop_
_atom_site_label
_atom_site_fract_x
_atom_site_fract_y
_atom_site_fract_z
Sm1 0.107 0.214 0.750
Sm2 0.893 0.786 0.250
Tm1 0.370 0.741 0.534
Tm2 0.630 0.259 0.034
Tm3 0.630 0.259 0.466
Tm4 0.370 0.741 0.966
Nb1 0.845 0.690 0.750
Nb2 0.155 0.310 0.250
N1 0.258 0.517 0.120
N2 0.742 0.483 0.620
N3 0.742 0.483 0.880
N4 0.258 0.517 0.380
N5 0.000 0.000 0.500
N6 0.000 0.000 0.000
N7 0.456 0.912 0.750
N8 0.544 0.088 0.250



3.
# PrZnNi4Sn2 | Alexandria | PBE | relaxed
# - ρ: 8.293 Mg/m³
# - SG: R-3m (166)
# - Total magnetization: 0.00 μB per formula unit
# - Crystal system: trigonal
# - DFT total energy: -4.97 eV/atom
data_PrZnNi4Sn2
_chemical_formula_sum 'Pr1 Zn1 Ni4 Sn2'
_cell_length_a 4.283
_cell_length_b 4.283
_cell_length_c 8.903
_cell_angle_alpha 76.08
_cell_angle_beta 76.08
_cell_angle_gamma 60.00
_space_group_name_H-M_alt 'P 1'
_space_group_IT_number 1
loop_
_space_group_symop_operation_xyz
'x,y,z'
loop_
_atom_site_label
_atom_site_fract_x
_atom_site_fract_y
_atom_site_fract_z
Pr1 0.000 0.000 0.000
Zn1 0.500 0.500 0.500
Ni1 0.405 0.405 0.784
Ni2 0.864 0.864 0.407
Ni3 0.136 0.136 0.593
Ni4 0.595 0.595 0.216
Sn1 0.759 0.759 0.723
Sn2 0.241 0.241 0.277



4.
# Sm2HoHg | Alexandria | PBE | relaxed
# - ρ: 9.240 Mg/m³
# - SG: Cmcm (63)
# - Total magnetization: 0.00 μB per formula unit
# - Excess energy over the best structure of this formula in the dataset: 0.02 eV/f.u.
# - Crystal system: orthorhombic
# - DFT total energy: -3.80 eV/atom
data_Sm2HoHg
_chemical_formula_sum 'Sm4 Ho2 Hg2'
_cell_length_a 3.693
_cell_length_b 6.553
_cell_length_c 10.315
_cell_angle_alpha 90.00
_cell_angle_beta 90.00
_cell_angle_gamma 106.37
_space_group_name_H-M_alt 'P 1'
_space_group_IT_number 1
loop_
_space_group_symop_operation_xyz
'x,y,z'
loop_
_atom_site_label
_atom_site_fract_x
_atom_site_fract_y
_atom_site_fract_z
Sm1 0.370 0.740 0.541
Sm2 0.630 0.260 0.459
Sm3 0.630 0.260 0.041
Sm4 0.370 0.740 0.959
Ho1 0.953 0.906 0.250
Ho2 0.047 0.094 0.750
Hg1 0.246 0.492 0.250
Hg2 0.754 0.508 0.750



5.
# LiTiCoPb | Alexandria | PBE | relaxed
# - ρ: 8.891 Mg/m³
# - SG: F-43m (216)
# - Total magnetization: 0.00 μB per formula unit
# - Crystal system: cubic
# - DFT total energy: -5.32 eV/atom
data_LiTiCoPb
_chemical_formula_sum 'Li1 Ti1 Co1 Pb1'
_cell_length_a 4.393
_cell_length_b 4.393
_cell_length_c 4.393
_cell_angle_alpha 60.00
_cell_angle_beta 60.00
_cell_angle_gamma 60.00
_space_group_name_H-M_alt 'P 1'
_space_group_IT_number 1
loop_
_space_group_symop_operation_xyz
'x,y,z'
loop_
_atom_site_label
_atom_site_fract_x
_atom_site_fract_y
_atom_site_fract_z
Pb1 0.750 0.750 0.750
Li1 0.500 0.500 0.500
Co1 0.000 0.000 0.000
Ti1 0.250 0.250 0.250



6.
# La3NdSb2 | Alexandria | PBE | relaxed
# - ρ: 6.765 Mg/m³
# - SG: P-4m2 (115)
# - Total magnetization: 0.00 μB per formula unit
# - Excess energy over the best structure of this formula in the dataset: 0.00 eV/f.u.
# - E_form (uncorrected): -0.861 eV/atom
# - Crystal system: tetragonal
# - DFT total energy: -5.49 eV/atom
data_La3NdSb2
_chemical_formula_sum 'La3 Nd1 Sb2'
_cell_length_a 4.672
_cell_length_b 4.672
_cell_length_c 9.047
_cell_angle_alpha 90.00
_cell_angle_beta 90.00
_cell_angle_gamma 90.00
_space_group_name_H-M_alt 'P 1'
_space_group_IT_number 1
loop_
_space_group_symop_operation_xyz
'x,y,z'
loop_
_atom_site_label
_atom_site_fract_x
_atom_site_fract_y
_atom_site_fract_z
La1 0.500 0.000 0.357
La2 0.000 0.500 0.643
La3 0.000 0.000 0.000
Nd1 0.500 0.500 0.000
Sb1 0.500 0.000 0.724
Sb2 0.000 0.500 0.276



7.
# CaMo3 | Alexandria | PBE | relaxed
# - ρ: 6.756 Mg/m³
# - SG: Cmcm (63)
# - Total magnetization: 0.00 μB per formula unit
# - Excess energy over the best structure of this formula in the dataset: 0.64 eV/f.u.
# - Crystal system: orthorhombic
# - DFT total energy: -7.99 eV/atom
data_CaMo3
_chemical_formula_sum 'Ca2 Mo6'
_cell_length_a 6.189
_cell_length_b 6.189
_cell_length_c 4.399
_cell_angle_alpha 90.00
_cell_angle_beta 90.00
_cell_angle_gamma 106.91
_space_group_name_H-M_alt 'P 1'
_space_group_IT_number 1
loop_
_space_group_symop_operation_xyz
'x,y,z'
loop_
_atom_site_label
_atom_site_fract_x
_atom_site_fract_y
_atom_site_fract_z
Ca1 0.623 0.377 0.750
Ca2 0.377 0.623 0.250
Mo1 0.149 0.851 0.750
Mo2 0.851 0.149 0.250
Mo3 0.730 0.913 0.750
Mo4 0.270 0.087 0.250
Mo5 0.913 0.730 0.250
Mo6 0.087 0.270 0.750



8.
# LiTl2In5 | Alexandria | PBE | relaxed
# - ρ: 7.772 Mg/m³
# - SG: I4/mmm (139)
# - Total magnetization: 0.00 μB per formula unit
# - Crystal system: tetragonal
# - DFT total energy: -2.58 eV/atom
data_LiTl2In5
_chemical_formula_sum 'Li1 Tl2 In5'
_cell_length_a 4.622
_cell_length_b 4.622
_cell_length_c 10.424
_cell_angle_alpha 102.81
_cell_angle_beta 102.81
_cell_angle_gamma 90.00
_space_group_name_H-M_alt 'P 1'
_space_group_IT_number 1
loop_
_space_group_symop_operation_xyz
'x,y,z'
loop_
_atom_site_label
_atom_site_fract_x
_atom_site_fract_y
_atom_site_fract_z
Li1 0.000 0.000 0.000
Tl1 0.750 0.750 0.499
Tl2 0.250 0.250 0.501
In1 0.500 0.500 0.000
In2 0.386 0.886 0.773
In3 0.886 0.386 0.773
In4 0.614 0.114 0.227
In5 0.114 0.614 0.227